This record from Alexandria describes an optimized crystal structure of KVSnO2. The functional is GGA+U.

Structure (CIF):
```
data_KVSnO2
_symmetry_space_group_name_H-M 'P 4/m m m'
_symmetry_Int_Tables_number 123
_symmetry_space_group_name_Hall '-P 4 2'
_cell_length_a 4.0505
_cell_length_b 4.0505
_cell_length_c 5.4690
_cell_angle_alpha 90.00
_cell_angle_beta 90.00
_cell_angle_gamma 90.00
loop_
_atom_site_label
_atom_site_type_symbol
_atom_site_fract_x
_atom_site_fract_y
_atom_site_fract_z
K1 K 0.0000 0.0000 0.0000
V1 V 0.5000 0.5000 0.5000
Sn1 Sn 0.5000 0.5000 0.0000
O1 O 0.0000 0.5000 0.5000
```

Summary:
- magnetic moment (μB per atom) = 0.216
- calculated volume (Å³ per atom) = 17.95
- calculated total energy (eV per atom) = -4.897